K4Pu3VO12 (PBE+U, relaxed); final energy = -8.071 eV per atom; M_tot = 9.00 μB per cell; symmetry = Im-3m, No. 229; V = 14.57 A^3/atom
1.0
7.234 0.000 0.000
-2.411 6.820 0.000
-2.411 -3.410 5.906
K Pu V O
4 3 1 12
Cartesian
1.206 1.705 2.953
-1.206 -1.705 2.953
3.617 0.000 0.000
-1.206 3.410 0.000
2.411 -1.705 2.953
2.411 3.410 0.000
-2.411 1.705 2.953
0.000 0.000 0.000
-1.206 0.852 4.430
3.676 -2.600 4.503
1.146 -0.810 1.403
3.617 2.557 1.477
3.676 5.199 0.000
1.146 1.620 0.000
3.617 0.000 2.953
-1.206 3.410 2.953
1.206 -0.852 4.430
-3.676 2.600 4.503
1.206 4.262 1.477
-1.146 0.810 1.403